Model P:
KLa2Zr after structural relaxation, computed with PBE.

Cell lengths 6.2547, 6.2547, 3.5674 Å; angles 89.95, 89.95, 101.86 degrees
Element x y z (fractional)
Zr (0.5000, 0.0000, 0.5000)
La (0.0000, 0.0000, 0.0000)
La (0.5000, 0.5000, 0.0000)
K (0.0000, 0.5000, 0.5000)

total moment	0.0	μB per cell

---

Model Q:
KLa2Zr after structural relaxation, computed with PBE.

Cell lengths 8.8069, 8.8069, 7.4531 Å; angles 53.78, 53.78, 90.00 degrees
Element x y z (fractional)
K (0.2500, 0.7500, 0.5000)
K (0.5000, 0.5000, 0.0000)
La (0.8750, 0.9795, 0.7500)
La (0.7295, 0.1250, 0.2500)
La (0.3750, 0.2705, 0.7500)
La (0.0205, 0.6250, 0.2500)
Zr (0.0000, 0.0000, 0.0000)
Zr (0.7500, 0.2500, 0.5000)

total moment	0.0	μB per cell

---

Model R:
KLa2Zr after structural relaxation, computed with PBE.

Cell lengths 3.5159, 3.5159, 11.9047 Å; angles 90.00, 90.00, 90.00 degrees
Element x y z (fractional)
K (0.5000, 0.5000, 0.7292)
Zr (0.0000, 0.0000, 0.4563)
La (0.0000, 0.0000, 0.0442)
La (0.5000, 0.5000, 0.2702)

total moment	0.0	μB per cell

---

Model S:
KLa2Zr after structural relaxation, computed with PBE.

Cell lengths 3.6514, 6.3300, 5.9666 Å; angles 90.00, 90.00, 90.00 degrees
Element x y z (fractional)
K (0.0000, 0.5000, 0.5000)
La (0.0000, 0.0000, 0.0000)
La (0.5000, 0.5000, 0.0000)
Zr (0.5000, 0.0000, 0.5000)

total moment	0.3	μB per cell

---

Relative calculated energies, zero for the most stable structure, unit meV per atom: model P 182; model Q 447; model R 0; model S 289.

---

Model P:
KLa2Zr after structural relaxation, computed with PBE.

Cell lengths 5.8205, 5.8205, 5.8205 Å; angles 60.00, 60.00, 60.00 degrees
Element x y z (fractional)
Zr (0.5000, 0.5000, 0.5000)
La (0.2500, 0.2500, 0.2500)
La (0.7500, 0.7500, 0.7500)
K (0.0000, 0.0000, 0.0000)

total moment	2.5	μB per cell

---

Model Q:
KLa2Zr after structural relaxation, computed with PBE.

Cell lengths 3.4500, 3.4500, 13.1619 Å; angles 90.00, 90.00, 116.76 degrees
Element x y z (fractional)
Zr (0.0000, 0.0000, 0.4719)
K (0.5000, 0.5000, 0.7330)
La (0.5000, 0.5000, 0.2699)
La (0.0000, 0.0000, 0.0252)

total moment	0.0	μB per cell

---

Model R:
KLa2Zr after structural relaxation, computed with PBE.

Cell lengths 7.4433, 7.4433, 7.4433 Å; angles 152.67, 130.58, 57.39 degrees
Element x y z (fractional)
Zr (0.5211, 0.5211, 0.0000)
La (0.9878, 0.9878, 0.0000)
La (0.7171, 0.2171, 0.5000)
K (0.2740, 0.7740, 0.5000)

total moment	0.0	μB per cell

---

Model S:
KLa2Zr after structural relaxation, computed with PBE.

Cell lengths 3.5239, 4.8761, 9.0146 Å; angles 90.00, 90.00, 90.00 degrees
Element x y z (fractional)
K (0.5000, 0.5000, 0.7229)
La (0.5000, 0.5000, 0.2884)
La (0.0000, 0.0000, 0.0602)
Zr (0.0000, 0.0000, 0.4285)

total moment	0.0	μB per cell

---

Relative calculated energies, zero for the most stable structure, unit meV per atom: model P 190; model Q 0; model R 109; model S 67.

---

Model P:
K2LaZr after structural relaxation, computed with PBE.

Cell lengths 6.0803, 6.0803, 6.0803 Å; angles 60.00, 60.00, 60.00 degrees
Element x y z (fractional)
La (0.5000, 0.5000, 0.5000)
Zr (0.0000, 0.0000, 0.0000)
K (0.2500, 0.2500, 0.2500)
K (0.7500, 0.7500, 0.7500)

total moment	1.3	μB per cell

---

Model Q:
K2LaZr after structural relaxation, computed with PBE.

Cell lengths 7.9571, 7.9571, 7.9571 Å; angles 155.59, 125.86, 60.23 degrees
Element x y z (fractional)
Zr (0.2764, 0.7764, 0.5000)
K (0.0207, 0.0207, 0.0000)
K (0.7452, 0.2452, 0.5000)
La (0.4577, 0.4577, 0.0000)

total moment	0.0	μB per cell

---

Relative calculated energies, zero for the most stable structure, unit meV per atom: model P 426; model Q 0.